1.
Material: Li3InSn
Method: DFT, PBE
State: optimized geometry

Properties
Polymorph energy (0 for the lowest one) in meV per atom: 322
Total magnetic moment in Bohr magnetons per cell: 0.00
Space group: No. 221
E_form in eV per atom: 0.0224

Structure (POSCAR):
```
Li3InSn
1.0
5.165 0.000 0.000
0.000 5.165 0.000
0.000 0.000 5.165
Li Sn In
3 1 1
Direct
0.000 0.500 0.000
0.000 0.000 0.500
0.500 0.000 0.000
0.000 0.000 0.000
0.500 0.500 0.500
```

***

2.
Material: Li7GaCu3
Method: DFT, PBE
State: optimized geometry

Properties
Polymorph energy (0 for the lowest one) in meV per atom: 0
Total magnetic moment in Bohr magnetons per cell: 0.00
Space group: No. 63
E_form in eV per atom: -0.0418

Structure (POSCAR):
```
Li7GaCu3
1.0
2.649 0.000 0.000
-1.324 10.691 0.000
0.000 0.000 12.050
Li Ga Cu
14 2 6
Direct
0.322 0.645 0.750
0.678 0.355 0.250
0.559 0.118 0.371
0.441 0.882 0.629
0.441 0.882 0.871
0.559 0.118 0.129
0.411 0.821 0.412
0.589 0.179 0.588
0.278 0.557 0.392
0.722 0.443 0.608
0.722 0.443 0.892
0.278 0.557 0.108
0.411 0.821 0.088
0.589 0.179 0.912
0.972 0.944 0.250
0.028 0.056 0.750
0.160 0.320 0.446
0.840 0.680 0.554
0.147 0.295 0.750
0.853 0.705 0.250
0.160 0.320 0.054
0.840 0.680 0.946
```

***

3.
Material: Ac3Sc2CdO9
Method: DFT, PBE
State: optimized geometry

Properties
Formation energy without anion corrections in eV/atom: -2.8308
Total magnetic moment in Bohr magnetons per cell: 0.96
Space group: No. 164

Structure (POSCAR):
```
Ac3Sc2CdO9
1.0
5.896 0.000 0.000
-2.948 5.106 0.000
0.000 0.000 7.220
Ac Sc Cd O
3 2 1 9
Direct
0.333 0.667 0.650
0.000 0.000 0.000
0.667 0.333 0.350
0.333 0.667 0.157
0.667 0.333 0.843
0.000 0.000 0.500
0.826 0.174 0.670
0.826 0.653 0.670
0.347 0.174 0.670
0.653 0.826 0.330
0.174 0.347 0.330
0.174 0.826 0.330
0.500 0.000 0.000
0.000 0.500 0.000
0.500 0.500 0.000
```

***

4.
Material: KBeIr2
Method: DFT, PBE
State: optimized geometry

Properties
Total magnetic moment in Bohr magnetons per cell: 0.00
Space group: No. 44
E_form in eV per atom: 0.7473

Structure (POSCAR):
```
KBeIr2
1.0
-0.463 -4.240 -4.184
4.595 -1.027 -3.679
-2.716 0.048 5.322
Be K Ir
1 1 2
Direct
0.194 0.694 0.500
0.493 0.493 0.000
0.013 0.013 0.000
0.800 0.300 0.500
```